A relaxed structure of Y2TlCuSe4. Source: the Alexandria database, functional PBE-GGA.

Computed properties:
- E_form (uncorrected) (eV per atom) = -1.320
- symmetry = Cmcm (63)
- uncorrected energy (eV/atom) = -5.486
- V (A^3/atom) = 26.20

Unit cell a=7.360 b=7.360 c=14.415 alpha=90.00 beta=90.00 gamma=147.53
Atoms (fractional coordinates):
Y: 0.134 0.866 0.565
Y: 0.134 0.866 0.935
Y: 0.866 0.134 0.065
Y: 0.866 0.134 0.435
Tl: 0.387 0.613 0.750
Tl: 0.613 0.387 0.250
Cu: 0.338 0.662 0.250
Cu: 0.662 0.338 0.750
Se: 0.065 0.935 0.750
Se: 0.235 0.765 0.111
Se: 0.235 0.765 0.389
Se: 0.500 0.500 0.000
Se: 0.500 0.500 0.500
Se: 0.765 0.235 0.611
Se: 0.765 0.235 0.889
Se: 0.935 0.065 0.250

***

A relaxed structure of Zn2AgHg2Au5. Source: the Alexandria database, functional PBE-GGA.

Computed properties:
- symmetry = P4/mbm (127)
- uncorrected energy (eV/atom) = -2.262
- calculated formation energy (eV per atom) = -0.023
- V (A^3/atom) = 18.82

Unit cell a=9.474 b=9.474 c=4.194 alpha=90.00 beta=90.00 gamma=90.00
Atoms (fractional coordinates):
Zn: 0.126 0.374 0.000
Zn: 0.374 0.874 0.000
Zn: 0.626 0.126 0.000
Zn: 0.874 0.626 0.000
Ag: 0.000 0.000 0.000
Ag: 0.500 0.500 0.000
Hg: 0.171 0.671 0.000
Hg: 0.329 0.171 0.000
Hg: 0.671 0.829 0.000
Hg: 0.829 0.329 0.000
Au: 0.000 0.500 0.500
Au: 0.084 0.196 0.500
Au: 0.196 0.916 0.500
Au: 0.304 0.416 0.500
Au: 0.416 0.696 0.500
Au: 0.500 0.000 0.500
Au: 0.584 0.304 0.500
Au: 0.696 0.584 0.500
Au: 0.804 0.084 0.500
Au: 0.916 0.804 0.500

***

A relaxed structure of Te2PIrI. Source: the Alexandria database, functional PBE-GGA.

Computed properties:
- E_form (uncorrected) (eV per atom) = 1.334
- symmetry = P4/mmm (123)
- excess energy over the best structure of this formula in the dataset (eV/atom) = 0.4436
- uncorrected energy (eV/atom) = -3.086
- V (A^3/atom) = 27.70

Unit cell a=5.207 b=5.207 c=5.107 alpha=90.00 beta=90.00 gamma=90.00
Atoms (fractional coordinates):
Te: 0.000 0.500 0.000
Te: 0.500 0.000 0.000
P: 0.000 0.000 0.000
Ir: 0.500 0.500 0.500
I: 0.000 0.000 0.500